(1)
! ScNbO2 (meta-GGA SCAN, PBEsol geometry); values from VASP
&SYSTEM
  ibrav = 0, nat = 16, ntyp = 3
/
ATOMIC_SPECIES
Sc 44.96 Sc.upf
Nb 92.91 Nb.upf
O 16.00 O.upf
ATOMIC_POSITIONS angstrom
Sc 0.000 0.000 0.000
Sc 0.000 2.451 2.304
Sc 2.451 0.000 6.913
Sc 2.451 2.451 4.609
Nb 0.000 0.000 4.609
Nb 0.000 2.451 6.913
Nb 2.451 0.000 2.304
Nb 2.451 2.451 0.000
O 1.141 1.226 1.152
O 1.226 3.592 3.456
O 1.226 3.762 8.065
O 1.311 1.226 5.761
O 3.592 3.677 5.761
O 3.677 1.141 8.065
O 3.677 1.311 3.456
O 3.762 3.677 1.152
CELL_PARAMETERS angstrom
4.903 0.000 0.000
0.000 4.903 0.000
0.000 0.000 9.217
! - Uncorrected formation energy: -2.14 eV/atom
! - SG: I-42d
! - Size of the total moment: 1.360 μB per formula unit


(2)
! NbSeO3 (meta-GGA SCAN, PBEsol geometry); values from VASP
&SYSTEM
  ibrav = 0, nat = 5, ntyp = 3
/
ATOMIC_SPECIES
Nb 92.91 Nb.upf
Se 78.96 Se.upf
O 16.00 O.upf
ATOMIC_POSITIONS angstrom
Nb 0.000 0.000 0.000
Se 2.006 2.006 2.006
O 0.000 0.000 2.006
O 0.000 2.006 0.000
O 2.006 0.000 0.000
CELL_PARAMETERS angstrom
4.011 0.000 0.000
0.000 4.011 0.000
0.000 0.000 4.011
! - Uncorrected formation energy: -1.36 eV/atom
! - SG: Pm-3m
! - Size of the total moment: 2.955 μB per formula unit


(3)
! Nb3SiO10 (meta-GGA SCAN, PBEsol geometry); values from VASP
&SYSTEM
  ibrav = 0, nat = 14, ntyp = 3
/
ATOMIC_SPECIES
Nb 92.91 Nb.upf
Si 28.09 Si.upf
O 16.00 O.upf
ATOMIC_POSITIONS angstrom
Nb 0.000 0.000 0.000
Nb 0.133 1.791 2.989
Nb 2.527 2.692 0.260
Si 2.548 4.434 2.794
O -1.188 0.417 3.254
O -0.908 3.300 3.251
O -1.348 2.345 5.961
O -0.686 -0.383 6.039
O 1.228 0.085 2.228
O 1.680 2.946 2.190
O 0.961 1.662 4.737
O 1.877 4.291 4.430
O 3.288 4.481 1.117
O 4.107 1.731 1.007
CELL_PARAMETERS angstrom
4.749 0.000 0.000
-0.028 5.386 0.000
-2.312 -1.499 6.166
! - Uncorrected formation energy: -2.53 eV/atom
! - SG: P1
! - Size of the total moment: 1.012 μB per formula unit


(4)
! NbSi2O (meta-GGA SCAN, PBEsol geometry); values from VASP
&SYSTEM
  ibrav = 0, nat = 16, ntyp = 3
/
ATOMIC_SPECIES
Nb 92.91 Nb.upf
Si 28.09 Si.upf
O 16.00 O.upf
ATOMIC_POSITIONS angstrom
Nb 0.000 0.000 0.000
Nb 0.000 2.869 1.674
Nb 2.869 0.000 5.023
Nb 2.869 2.869 3.349
Si 0.903 4.304 4.186
Si 1.435 0.903 2.512
Si 1.435 1.966 5.860
Si 1.966 4.304 0.837
Si 3.773 1.435 0.837
Si 4.304 3.773 5.860
Si 4.304 4.835 2.512
Si 4.835 1.435 4.186
O 0.000 0.000 3.349
O 0.000 2.869 5.023
O 2.869 0.000 1.674
O 2.869 2.869 0.000
CELL_PARAMETERS angstrom
5.738 0.000 0.000
0.000 5.738 0.000
0.000 0.000 6.697
! - Uncorrected formation energy: -0.33 eV/atom
! - SG: I-42d
! - Size of the total moment: 0.000 μB per formula unit


(5)
! Sr2NbSiO (meta-GGA SCAN, PBEsol geometry); values from VASP
&SYSTEM
  ibrav = 0, nat = 5, ntyp = 4
/
ATOMIC_SPECIES
Sr 87.62 Sr.upf
Nb 92.91 Nb.upf
Si 28.09 Si.upf
O 16.00 O.upf
ATOMIC_POSITIONS angstrom
Sr 0.000 3.043 0.000
Sr 3.043 0.000 0.000
Nb 0.000 0.000 0.000
Si 3.043 3.043 1.930
O 0.000 0.000 1.930
CELL_PARAMETERS angstrom
6.085 0.000 0.000
0.000 6.085 0.000
0.000 0.000 3.859
! - Uncorrected formation energy: -0.06 eV/atom
! - SG: P4/mmm
! - Size of the total moment: 0.004 μB per formula unit


(6)
! Nb2SnO6 (meta-GGA SCAN, PBEsol geometry); values from VASP
&SYSTEM
  ibrav = 0, nat = 18, ntyp = 3
/
ATOMIC_SPECIES
Nb 92.91 Nb.upf
Sn 118.71 Sn.upf
O 16.00 O.upf
ATOMIC_POSITIONS angstrom
Nb 5.555 1.276 4.633
Nb 11.401 1.276 3.767
Nb 5.627 -1.276 1.833
Nb 11.474 -1.276 0.967
Sn 8.551 1.316 1.400
Sn 8.478 -1.316 4.200
O 7.215 2.076 5.105
O 9.740 2.076 3.295
O 3.651 0.298 4.774
O 3.724 -0.298 1.974
O 6.073 0.175 3.223
O 6.146 -0.175 0.423
O 10.882 0.175 5.177
O 10.955 -0.175 2.377
O 13.305 0.298 3.626
O 13.378 -0.298 0.826
O 7.288 -2.076 2.305
O 9.813 -2.076 0.495
CELL_PARAMETERS angstrom
8.587 -2.454 0.000
8.587 2.454 0.000
-0.146 0.000 5.600
! - Uncorrected formation energy: -2.46 eV/atom
! - SG: C2/c
! - Size of the total moment: 0.000 μB per formula unit


(7)
! Nb2TlSnO (meta-GGA SCAN, PBEsol geometry); values from VASP
&SYSTEM
  ibrav = 0, nat = 5, ntyp = 4
/
ATOMIC_SPECIES
Nb 92.91 Nb.upf
Tl 204.38 Tl.upf
Sn 118.71 Sn.upf
O 16.00 O.upf
ATOMIC_POSITIONS angstrom
Nb 0.000 2.660 0.000
Nb 2.660 0.000 0.000
Tl 0.000 0.000 0.000
Sn 0.000 0.000 2.647
O 2.660 2.660 2.647
CELL_PARAMETERS angstrom
5.321 0.000 0.000
0.000 5.321 0.000
0.000 0.000 5.294
! - Uncorrected formation energy: 2.08 eV/atom
! - SG: P4/mmm
! - Size of the total moment: 5.098 μB per formula unit


(8)
! Nb2Zn2SnO8 (meta-GGA SCAN, PBEsol geometry); values from VASP
&SYSTEM
  ibrav = 0, nat = 26, ntyp = 4
/
ATOMIC_SPECIES
Nb 92.91 Nb.upf
Zn 65.41 Zn.upf
Sn 118.71 Sn.upf
O 16.00 O.upf
ATOMIC_POSITIONS angstrom
Nb 7.585 1.978 4.187
Nb 12.770 1.978 3.835
Nb 7.690 -1.978 1.513
Nb 12.875 -1.978 1.161
Zn 5.670 0.902 1.448
Zn 5.565 -0.902 4.123
Zn 14.895 0.902 1.226
Zn 14.791 -0.902 3.900
Sn 10.283 1.162 1.337
Sn 10.178 -1.162 4.011
O 8.619 2.469 2.584
O 3.597 0.643 4.930
O 6.093 0.855 3.424
O 11.946 2.469 0.091
O 3.702 -0.643 2.256
O 8.740 0.648 4.765
O 6.198 -0.855 0.750
O 11.615 0.648 3.257
O 8.845 -0.648 2.091
O 14.262 0.855 4.599
O 11.720 -0.648 0.583
O 16.758 0.643 3.093
O 8.514 -2.469 5.258
O 14.367 -0.855 1.924
O 16.863 -0.643 0.418
O 11.841 -2.469 2.765
CELL_PARAMETERS angstrom
10.335 -2.953 0.000
10.335 2.953 0.000
-0.210 0.000 5.348
! - Uncorrected formation energy: -2.13 eV/atom
! - SG: C2/c
! - Size of the total moment: 0.000 μB per formula unit


| no. | DOS(E_F) (states/eV/f.u.) |
| --- | --- |
| 1 | 2.93 |
| 2 | 0.76 |
| 3 | 1.91 |
| 4 | 2.00 |
| 5 | 4.88 |
| 6 | 0.00 |
| 7 | 3.67 |
| 8 | 0.00 |